[1]
CaTiOs2 | GGA-PBE | relaxed

Results
Fermi-level density of states = 16.63 states/eV/cell
ΔE to the lowest computed polymorph = 0 meV/atom
total moment = 0.00 Bohr magnetons per cell
calculated formation energy = 96 kJ/mol of formula units

Structure (CIF):
```
data_CaTiOs2
_chemical_formula_sum 'Ca4 Ti4 Os8'
_cell_length_a 6.4318
_cell_length_b 6.4318
_cell_length_c 6.4318
_cell_angle_alpha 90.00
_cell_angle_beta 90.00
_cell_angle_gamma 90.00
_space_group_name_H-M_alt 'F m -3 m'
_space_group_IT_number 225
_space_group_name_Hall '-F 4 2 3'
loop_
_atom_site_label
_atom_site_fract_x
_atom_site_fract_y
_atom_site_fract_z
Ca1 0.0000 0.0000 0.0000
Ti1 0.0000 0.0000 0.5000
Os1 0.2500 0.2500 0.2500
```



[2]
Li4In5Hg | GGA-PBE | relaxed

Results
Fermi-level density of states = 3.03 states/eV/cell
ΔE to the lowest computed polymorph = 12 meV/atom
total moment = 0.00 Bohr magnetons per cell
calculated formation energy = -193 kJ/mol of formula units

Structure (CIF):
```
data_Li4In5Hg
_chemical_formula_sum 'Li4 In5 Hg1'
_cell_length_a 3.5778
_cell_length_b 3.5778
_cell_length_c 16.5766
_cell_angle_alpha 90.00
_cell_angle_beta 90.00
_cell_angle_gamma 90.00
_space_group_name_H-M_alt 'P 4/m m m'
_space_group_IT_number 123
_space_group_name_Hall '-P 4 2'
loop_
_atom_site_label
_atom_site_fract_x
_atom_site_fract_y
_atom_site_fract_z
Li1 0.0000 0.0000 0.0966
Li2 0.0000 0.0000 0.2908
In1 0.5000 0.5000 0.0000
In2 0.5000 0.5000 0.1935
In3 0.5000 0.5000 0.3893
Hg1 0.0000 0.0000 0.5000
```



[3]
CrSnTe2 | GGA-PBE | relaxed

Results
Fermi-level density of states = 8.50 states/eV/cell
total moment = 13.18 Bohr magnetons per cell
formation energy (no corrections) = 0.48 eV/atom

Structure (CIF):
```
data_CrSnTe2
_chemical_formula_sum 'Cr3 Sn3 Te6'
_cell_length_a 3.3458
_cell_length_b 3.3458
_cell_length_c 34.3439
_cell_angle_alpha 90.00
_cell_angle_beta 90.00
_cell_angle_gamma 120.00
_space_group_name_H-M_alt 'R -3 m'
_space_group_IT_number 166
_space_group_name_Hall '-R 3 2"'
loop_
_atom_site_label
_atom_site_fract_x
_atom_site_fract_y
_atom_site_fract_z
Cr1 0.0000 0.0000 0.0000
Sn1 0.0000 0.0000 0.5000
Te1 0.0000 0.0000 0.0779
```



[4]
TlTc2Mo | GGA-PBE | relaxed

Results
Fermi-level density of states = 11.67 states/eV/cell
ΔE to the lowest computed polymorph = 529 meV/atom
total moment = 3.02 Bohr magnetons per cell
calculated formation energy = 359 kJ/mol of formula units

Structure (CIF):
```
data_TlTc2Mo
_chemical_formula_sum 'Tl4 Tc8 Mo4'
_cell_length_a 7.3786
_cell_length_b 7.3786
_cell_length_c 5.5548
_cell_angle_alpha 90.00
_cell_angle_beta 90.00
_cell_angle_gamma 90.00
_space_group_name_H-M_alt 'I -4 2 d'
_space_group_IT_number 122
_space_group_name_Hall 'I -4 2bw'
loop_
_atom_site_label
_atom_site_fract_x
_atom_site_fract_y
_atom_site_fract_z
Tl1 0.0000 0.0000 0.0000
Tc1 0.1959 0.2500 0.6250
Mo1 0.0000 0.0000 0.5000
```



[5]
GePd4Pb | GGA-PBE | relaxed

Results
Fermi-level density of states = 5.85 states/eV/cell
ΔE to the lowest computed polymorph = 76 meV/atom
total moment = 0.00 Bohr magnetons per cell
calculated formation energy = -180 kJ/mol of formula units

Structure (CIF):
```
data_GePd4Pb
_chemical_formula_sum 'Ge2 Pd8 Pb2'
_cell_length_a 4.5977
_cell_length_b 8.0954
_cell_length_c 5.7216
_cell_angle_alpha 90.00
_cell_angle_beta 90.00
_cell_angle_gamma 90.00
_space_group_name_H-M_alt 'P m n a'
_space_group_IT_number 53
_space_group_name_Hall '-P 2ac 2'
loop_
_atom_site_label
_atom_site_fract_x
_atom_site_fract_y
_atom_site_fract_z
Ge1 0.0000 0.0000 0.0000
Pd1 0.0000 0.1536 0.3900
Pd2 0.0000 0.3001 0.9044
Pb1 0.0000 0.5000 0.5000
```



[6]
ScCuNiSb | GGA-PBE | relaxed

Results
Fermi-level density of states = 9.14 states/eV/cell
total moment = 0.00 Bohr magnetons per cell
formation energy (no corrections) = -0.38 eV/atom

Structure (CIF):
```
data_ScCuNiSb
_chemical_formula_sum 'Sc4 Cu4 Ni4 Sb4'
_cell_length_a 6.3650
_cell_length_b 6.3650
_cell_length_c 6.3650
_cell_angle_alpha 90.00
_cell_angle_beta 90.00
_cell_angle_gamma 90.00
_space_group_name_H-M_alt 'F -4 3 m'
_space_group_IT_number 216
_space_group_name_Hall 'F -4 2 3'
loop_
_atom_site_label
_atom_site_fract_x
_atom_site_fract_y
_atom_site_fract_z
Sc1 0.0000 0.0000 0.0000
Cu1 0.2500 0.2500 0.2500
Ni1 0.2500 0.2500 0.7500
Sb1 0.0000 0.0000 0.5000
```



[7]
Na2Hg2Mo | GGA-PBE | relaxed

Results
Fermi-level density of states = 6.78 states/eV/cell
ΔE to the lowest computed polymorph = 0 meV/atom
total moment = 2.50 Bohr magnetons per cell
calculated formation energy = 289 kJ/mol of formula units

Structure (CIF):
```
data_Na2Hg2Mo
_chemical_formula_sum 'Na4 Hg4 Mo2'
_cell_length_a 8.4866
_cell_length_b 8.4866
_cell_length_c 3.0070
_cell_angle_alpha 90.00
_cell_angle_beta 90.00
_cell_angle_gamma 90.00
_space_group_name_H-M_alt 'P 4/m b m'
_space_group_IT_number 127
_space_group_name_Hall '-P 4 2ab'
loop_
_atom_site_label
_atom_site_fract_x
_atom_site_fract_y
_atom_site_fract_z
Na1 0.1277 0.3723 0.0000
Hg1 0.1752 0.6752 0.5000
Mo1 0.0000 0.0000 0.5000
```



[8]
Ba2SnBPd6 | GGA-PBE | relaxed

Results
Fermi-level density of states = 11.79 states/eV/cell
total moment = 0.00 Bohr magnetons per cell
calculated formation energy = -515 kJ/mol of formula units

Structure (CIF):
```
data_Ba2SnBPd6
_chemical_formula_sum 'Ba4 Sn2 B2 Pd12'
_cell_length_a 10.5922
_cell_length_b 6.1124
_cell_length_c 7.4212
_cell_angle_alpha 90.00
_cell_angle_beta 118.55
_cell_angle_gamma 90.00
_space_group_name_H-M_alt 'C 1 2/m 1'
_space_group_IT_number 12
_space_group_name_Hall '-C 2y'
loop_
_atom_site_label
_atom_site_fract_x
_atom_site_fract_y
_atom_site_fract_z
Ba1 0.2225 0.0000 0.1683
Sn1 0.0000 0.5000 0.0000
B1 0.0000 0.0000 0.5000
Pd1 0.0317 0.2625 0.3338
Pd2 0.2307 0.0000 0.6648
```



[9]
Pu6SnGe | GGA-PBE | relaxed

Results
Fermi-level density of states = 33.78 states/eV/cell
total moment = 22.48 Bohr magnetons per cell
calculated formation energy = -150 kJ/mol of formula units

Structure (CIF):
```
data_Pu6SnGe
_chemical_formula_sum 'Pu6 Sn1 Ge1'
_cell_length_a 4.5644
_cell_length_b 4.5644
_cell_length_c 9.2899
_cell_angle_alpha 90.00
_cell_angle_beta 90.00
_cell_angle_gamma 90.00
_space_group_name_H-M_alt 'P 4/m m m'
_space_group_IT_number 123
_space_group_name_Hall '-P 4 2'
loop_
_atom_site_label
_atom_site_fract_x
_atom_site_fract_y
_atom_site_fract_z
Pu1 0.0000 0.0000 0.0000
Pu2 0.0000 0.0000 0.5000
Pu3 0.0000 0.5000 0.2436
Sn1 0.5000 0.5000 0.5000
Ge1 0.5000 0.5000 0.0000
```



[10]
ThGa3Cu8 | GGA-PBE | relaxed

Results
Fermi-level density of states = 2.93 states/eV/cell
total moment = 0.00 Bohr magnetons per cell
calculated formation energy = -99 kJ/mol of formula units

Structure (CIF):
```
data_ThGa3Cu8
_chemical_formula_sum 'Th1 Ga3 Cu8'
_cell_length_a 4.9482
_cell_length_b 4.9482
_cell_length_c 8.5089
_cell_angle_alpha 90.00
_cell_angle_beta 90.00
_cell_angle_gamma 120.00
_space_group_name_H-M_alt 'P 3 m 1'
_space_group_IT_number 156
_space_group_name_Hall 'P 3 -2"'
loop_
_atom_site_label
_atom_site_fract_x
_atom_site_fract_y
_atom_site_fract_z
Th1 0.0000 0.0000 0.0000
Ga1 0.0000 0.0000 0.3843
Ga2 0.6667 0.3333 0.4900
Ga3 0.6667 0.3333 0.8291
Cu1 0.1648 0.3296 0.6732
Cu2 0.3333 0.6667 0.4365
Cu3 0.3333 0.6667 0.9226
Cu4 0.5015 0.0030 0.2007
```



[11]
CaPr4 | GGA-PBE | relaxed

Results
Fermi-level density of states = 17.37 states/eV/cell
ΔE to the lowest computed polymorph = 0 meV/atom
total moment = 0.00 Bohr magnetons per cell
calculated formation energy = 21 kJ/mol of formula units

Structure (CIF):
```
data_CaPr4
_chemical_formula_sum 'Ca2 Pr8'
_cell_length_a 3.7210
_cell_length_b 5.2896
_cell_length_c 18.8287
_cell_angle_alpha 90.00
_cell_angle_beta 90.00
_cell_angle_gamma 90.00
_space_group_name_H-M_alt 'I m m m'
_space_group_IT_number 71
_space_group_name_Hall '-I 2 2'
loop_
_atom_site_label
_atom_site_fract_x
_atom_site_fract_y
_atom_site_fract_z
Ca1 0.0000 0.0000 0.0000
Pr1 0.0000 0.0000 0.2028
Pr2 0.0000 0.0000 0.3950
```